# PBE-GGA Li2AgPt, optimized geometry
data_Li2AgPt
_chemical_formula_sum 'Li6 Ag3 Pt3'
_cell_length_a 2.8292
_cell_length_b 2.8292
_cell_length_c 26.1517
_cell_angle_alpha 90.00
_cell_angle_beta 90.00
_cell_angle_gamma 120.00
_space_group_name_H-M_alt 'R -3 m'
_space_group_IT_number 166
_space_group_name_Hall '-R 3 2"'
loop_
_atom_site_label
_atom_site_type_symbol
_atom_site_fract_x
_atom_site_fract_y
_atom_site_fract_z
_atom_site_occupancy
Li1 Li 0.0000 0.0000 0.2451 1
Ag1 Ag 0.0000 0.0000 0.0000 1
Pt1 Pt 0.0000 0.0000 0.5000 1
# - DFT total energy: -42.34 eV for the cell shown
# - Total magnetization: 0.00 μB/atom



# PBE-GGA Li6Ag8Pt, optimized geometry
data_Li6Ag8Pt
_chemical_formula_sum 'Li6 Ag8 Pt1'
_cell_length_a 9.7799
_cell_length_b 9.7799
_cell_length_c 2.9503
_cell_angle_alpha 90.00
_cell_angle_beta 90.00
_cell_angle_gamma 120.00
_space_group_name_H-M_alt 'P -3'
_space_group_IT_number 147
_space_group_name_Hall '-P 3'
loop_
_atom_site_label
_atom_site_type_symbol
_atom_site_fract_x
_atom_site_fract_y
_atom_site_fract_z
_atom_site_occupancy
Li1 Li 0.0979 0.4797 0.2004 1
Ag1 Ag 0.0862 0.7805 0.3081 1
Ag2 Ag 0.3333 0.6667 0.6978 1
Pt1 Pt 0.0000 0.0000 0.0000 1
# - DFT total energy: -40.55 eV for the cell shown
# - Total magnetization: 0.00 μB/atom



# PBE-GGA LiPuAgPt, optimized geometry
data_LiPuAgPt
_chemical_formula_sum 'Li4 Pu4 Ag4 Pt4'
_cell_length_a 6.768
_cell_length_b 6.768
_cell_length_c 6.768
_cell_angle_alpha 90.00
_cell_angle_beta 90.00
_cell_angle_gamma 90.00
_space_group_name_H-M_alt 'F -4 3 m'
_space_group_IT_number 216
_space_group_name_Hall 'F -4 2 3'
loop_
_atom_site_label
_atom_site_type_symbol
_atom_site_fract_x
_atom_site_fract_y
_atom_site_fract_z
_atom_site_occupancy
Li1 Li 0.000 0.000 0.000 1
Pu1 Pu 0.250 0.250 0.250 1
Ag1 Ag 0.250 0.250 0.750 1
Pt1 Pt 0.000 0.000 0.500 1
# - DFT total energy: -105.14 eV for the cell shown
# - Total magnetization: 1.41 μB/atom



# PBE-GGA Li2AgPtS, optimized geometry
data_Li2AgPtS
_chemical_formula_sum 'Li2 Ag1 Pt1 S1'
_cell_length_a 4.536
_cell_length_b 4.536
_cell_length_c 5.157
_cell_angle_alpha 90.00
_cell_angle_beta 90.00
_cell_angle_gamma 90.00
_space_group_name_H-M_alt 'P 4/m m m'
_space_group_IT_number 123
_space_group_name_Hall '-P 4 2'
loop_
_atom_site_label
_atom_site_type_symbol
_atom_site_fract_x
_atom_site_fract_y
_atom_site_fract_z
_atom_site_occupancy
Li1 Li 0.000 0.500 0.000 1
Ag1 Ag 0.000 0.000 0.500 1
Pt1 Pt 0.000 0.000 0.000 1
S1 S 0.500 0.500 0.500 1
# - Raw formation energy: 97 kJ/mol of formula units
# - Total magnetization: 0.00 μB/atom



# PBE-GGA Li2AgSbPt, optimized geometry
data_Li2AgSbPt
_chemical_formula_sum 'Li2 Ag1 Sb1 Pt1'
_cell_length_a 4.965
_cell_length_b 4.965
_cell_length_c 4.971
_cell_angle_alpha 90.00
_cell_angle_beta 90.00
_cell_angle_gamma 90.00
_space_group_name_H-M_alt 'P 4/m m m'
_space_group_IT_number 123
_space_group_name_Hall '-P 4 2'
loop_
_atom_site_label
_atom_site_type_symbol
_atom_site_fract_x
_atom_site_fract_y
_atom_site_fract_z
_atom_site_occupancy
Li1 Li 0.000 0.500 0.000 1
Ag1 Ag 0.000 0.000 0.500 1
Sb1 Sb 0.500 0.500 0.000 1
Pt1 Pt 0.500 0.500 0.500 1
# - Raw formation energy: 85 kJ/mol of formula units
# - Total magnetization: 0.00 μB/atom



# PBE-GGA LiAgSbPt, optimized geometry
data_LiAgSbPt
_chemical_formula_sum 'Li4 Ag4 Sb4 Pt4'
_cell_length_a 6.547
_cell_length_b 6.547
_cell_length_c 6.547
_cell_angle_alpha 90.00
_cell_angle_beta 90.00
_cell_angle_gamma 90.00
_space_group_name_H-M_alt 'F -4 3 m'
_space_group_IT_number 216
_space_group_name_Hall 'F -4 2 3'
loop_
_atom_site_label
_atom_site_type_symbol
_atom_site_fract_x
_atom_site_fract_y
_atom_site_fract_z
_atom_site_occupancy
Li1 Li 0.000 0.000 0.000 1
Ag1 Ag 0.250 0.250 0.750 1
Sb1 Sb 0.250 0.250 0.250 1
Pt1 Pt 0.000 0.000 0.500 1
# - Raw formation energy: -143 kJ/mol of formula units
# - Total magnetization: 0.00 μB/atom



# PBE-GGA LiAgSnPt, optimized geometry
data_LiAgSnPt
_chemical_formula_sum 'Li4 Ag4 Sn4 Pt4'
_cell_length_a 6.496
_cell_length_b 6.496
_cell_length_c 6.496
_cell_angle_alpha 90.00
_cell_angle_beta 90.00
_cell_angle_gamma 90.00
_space_group_name_H-M_alt 'F -4 3 m'
_space_group_IT_number 216
_space_group_name_Hall 'F -4 2 3'
loop_
_atom_site_label
_atom_site_type_symbol
_atom_site_fract_x
_atom_site_fract_y
_atom_site_fract_z
_atom_site_occupancy
Li1 Li 0.000 0.000 0.000 1
Ag1 Ag 0.250 0.250 0.250 1
Sn1 Sn 0.250 0.250 0.750 1
Pt1 Pt 0.000 0.000 0.500 1
# - Energy relative to the lowest polymorph listed for this composition: 0.000 eV per atom
# - Total magnetization: 0.00 μB/atom



# PBE-GGA LiAgSnPt, optimized geometry
data_LiAgSnPt
_chemical_formula_sum 'Li2 Ag2 Sn2 Pt2'
_cell_length_a 4.638
_cell_length_b 4.638
_cell_length_c 6.335
_cell_angle_alpha 90.00
_cell_angle_beta 90.00
_cell_angle_gamma 90.00
_space_group_name_H-M_alt 'I -4 m 2'
_space_group_IT_number 119
_space_group_name_Hall 'I -4 -2'
loop_
_atom_site_label
_atom_site_type_symbol
_atom_site_fract_x
_atom_site_fract_y
_atom_site_fract_z
_atom_site_occupancy
Li1 Li 0.000 0.000 0.000 1
Ag1 Ag 0.000 0.500 0.250 1
Sn1 Sn 0.000 0.000 0.500 1
Pt1 Pt 0.000 0.500 0.750 1
# - Energy relative to the lowest polymorph listed for this composition: 0.003 eV per atom
# - Total magnetization: 0.00 μB/atom



# PBE-GGA Sr2Li3Ag12Pt, optimized geometry
data_Sr2Li3Ag12Pt
_chemical_formula_sum 'Sr6 Li9 Ag36 Pt3'
_cell_length_a 6.6322
_cell_length_b 6.6322
_cell_length_c 31.0579
_cell_angle_alpha 90.00
_cell_angle_beta 90.00
_cell_angle_gamma 120.00
_space_group_name_H-M_alt 'R -3 m'
_space_group_IT_number 166
_space_group_name_Hall '-R 3 2"'
loop_
_atom_site_label
_atom_site_type_symbol
_atom_site_fract_x
_atom_site_fract_y
_atom_site_fract_z
_atom_site_occupancy
Sr1 Sr 0.0000 0.0000 0.1441 1
Li1 Li 0.0000 0.5000 0.0000 1
Ag1 Ag 0.0322 0.5161 0.0988 1
Ag2 Ag 0.0575 0.5288 0.6228 1
Pt1 Pt 0.0000 0.0000 0.5000 1
# - DFT total energy: -148.30 eV for the cell shown
# - Total magnetization: 0.00 μB/atom



# PBE-GGA Sr2LiAgPt, optimized geometry
data_Sr2LiAgPt
_chemical_formula_sum 'Sr2 Li1 Ag1 Pt1'
_cell_length_a 5.824
_cell_length_b 5.824
_cell_length_c 4.758
_cell_angle_alpha 90.00
_cell_angle_beta 90.00
_cell_angle_gamma 90.00
_space_group_name_H-M_alt 'P 4/m m m'
_space_group_IT_number 123
_space_group_name_Hall '-P 4 2'
loop_
_atom_site_label
_atom_site_type_symbol
_atom_site_fract_x
_atom_site_fract_y
_atom_site_fract_z
_atom_site_occupancy
Sr1 Sr 0.000 0.500 0.000 1
Li1 Li 0.000 0.000 0.500 1
Ag1 Ag 0.500 0.500 0.500 1
Pt1 Pt 0.000 0.000 0.000 1
# - DFT total energy: -15.75 eV for the cell shown
# - Total magnetization: 0.00 μB/atom



# PBE-GGA LiThAgPt, optimized geometry
data_LiThAgPt
_chemical_formula_sum 'Li4 Th4 Ag4 Pt4'
_cell_length_a 6.980
_cell_length_b 6.980
_cell_length_c 6.980
_cell_angle_alpha 90.00
_cell_angle_beta 90.00
_cell_angle_gamma 90.00
_space_group_name_H-M_alt 'F -4 3 m'
_space_group_IT_number 216
_space_group_name_Hall 'F -4 2 3'
loop_
_atom_site_label
_atom_site_type_symbol
_atom_site_fract_x
_atom_site_fract_y
_atom_site_fract_z
_atom_site_occupancy
Li1 Li 0.000 0.000 0.000 1
Th1 Th 0.000 0.000 0.500 1
Ag1 Ag 0.250 0.250 0.750 1
Pt1 Pt 0.250 0.250 0.250 1
# - DFT total energy: -80.56 eV for the cell shown
# - Total magnetization: 0.00 μB/atom



# PBE-GGA LiTlAgPt, optimized geometry
data_LiTlAgPt
_chemical_formula_sum 'Li4 Tl4 Ag4 Pt4'
_cell_length_a 6.567
_cell_length_b 6.567
_cell_length_c 6.567
_cell_angle_alpha 90.00
_cell_angle_beta 90.00
_cell_angle_gamma 90.00
_space_group_name_H-M_alt 'F -4 3 m'
_space_group_IT_number 216
_space_group_name_Hall 'F -4 2 3'
loop_
_atom_site_label
_atom_site_type_symbol
_atom_site_fract_x
_atom_site_fract_y
_atom_site_fract_z
_atom_site_occupancy
Li1 Li 0.000 0.000 0.000 1
Tl1 Tl 0.250 0.250 0.250 1
Ag1 Ag 0.250 0.250 0.750 1
Pt1 Pt 0.000 0.000 0.500 1
# - DFT total energy: -56.65 eV for the cell shown
# - Total magnetization: 0.00 μB/atom



# PBE-GGA LiTmAgPt, optimized geometry
data_LiTmAgPt
_chemical_formula_sum 'Li4 Tm4 Ag4 Pt4'
_cell_length_a 6.696
_cell_length_b 6.696
_cell_length_c 6.696
_cell_angle_alpha 90.00
_cell_angle_beta 90.00
_cell_angle_gamma 90.00
_space_group_name_H-M_alt 'F -4 3 m'
_space_group_IT_number 216
_space_group_name_Hall 'F -4 2 3'
loop_
_atom_site_label
_atom_site_type_symbol
_atom_site_fract_x
_atom_site_fract_y
_atom_site_fract_z
_atom_site_occupancy
Li1 Li 0.000 0.000 0.000 1
Tm1 Tm 0.000 0.000 0.500 1
Ag1 Ag 0.250 0.250 0.750 1
Pt1 Pt 0.250 0.250 0.250 1
# - DFT total energy: -71.22 eV for the cell shown
# - Total magnetization: 0.00 μB/atom



# PBE-GGA LiPu2Ag, optimized geometry
data_LiPu2Ag
_chemical_formula_sum 'Li1 Pu2 Ag1'
_cell_length_a 3.497
_cell_length_b 3.497
_cell_length_c 5.516
_cell_angle_alpha 90.00
_cell_angle_beta 90.00
_cell_angle_gamma 90.00
_space_group_name_H-M_alt 'P 4/m m m'
_space_group_IT_number 123
_space_group_name_Hall '-P 4 2'
loop_
_atom_site_label
_atom_site_type_symbol
_atom_site_fract_x
_atom_site_fract_y
_atom_site_fract_z
_atom_site_occupancy
Li1 Li 0.000 0.000 0.000 1
Pu1 Pu 0.000 0.500 0.500 1
Ag1 Ag 0.500 0.500 0.000 1
# - DFT total energy: -31.75 eV for the cell shown
# - Total magnetization: 0.00 μB/atom



# PBE-GGA Li4PuAg5, optimized geometry
data_Li4PuAg5
_chemical_formula_sum 'Li4 Pu1 Ag5'
_cell_length_a 2.995
_cell_length_b 2.995
_cell_length_c 19.458
_cell_angle_alpha 90.00
_cell_angle_beta 90.00
_cell_angle_gamma 90.00
_space_group_name_H-M_alt 'P 4/m m m'
_space_group_IT_number 123
_space_group_name_Hall '-P 4 2'
loop_
_atom_site_label
_atom_site_type_symbol
_atom_site_fract_x
_atom_site_fract_y
_atom_site_fract_z
_atom_site_occupancy
Li1 Li 0.000 0.000 0.094 1
Li2 Li 0.000 0.000 0.281 1
Pu1 Pu 0.000 0.000 0.500 1
Ag1 Ag 0.500 0.500 0.000 1
Ag2 Ag 0.500 0.500 0.188 1
Ag3 Ag 0.500 0.500 0.373 1
# - DFT total energy: -37.73 eV for the cell shown
# - Total magnetization: 0.61 μB/atom



# PBE-GGA LiPu2Ag6, optimized geometry
data_LiPu2Ag6
_chemical_formula_sum 'Li2 Pu4 Ag12'
_cell_length_a 14.836
_cell_length_b 8.566
_cell_length_c 2.937
_cell_angle_alpha 90.00
_cell_angle_beta 90.07
_cell_angle_gamma 90.00
_space_group_name_H-M_alt 'C 1 2/m 1'
_space_group_IT_number 12
_space_group_name_Hall '-C 2y'
loop_
_atom_site_label
_atom_site_type_symbol
_atom_site_fract_x
_atom_site_fract_y
_atom_site_fract_z
_atom_site_occupancy
Li1 Li 0.000 0.000 0.000 1
Pu1 Pu 0.167 0.500 0.000 1
Ag1 Ag 0.000 0.327 0.500 1
Ag2 Ag 0.163 0.163 0.499 1
# - DFT total energy: -95.80 eV for the cell shown
# - Total magnetization: 1.36 μB/atom



# PBE-GGA LiPuAg4, optimized geometry
data_LiPuAg4
_chemical_formula_sum 'Li4 Pu4 Ag16'
_cell_length_a 7.951
_cell_length_b 7.951
_cell_length_c 7.951
_cell_angle_alpha 90.00
_cell_angle_beta 90.00
_cell_angle_gamma 90.00
_space_group_name_H-M_alt 'F -4 3 m'
_space_group_IT_number 216
_space_group_name_Hall 'F -4 2 3'
loop_
_atom_site_label
_atom_site_type_symbol
_atom_site_fract_x
_atom_site_fract_y
_atom_site_fract_z
_atom_site_occupancy
Li1 Li 0.000 0.000 0.000 1
Pu1 Pu 0.250 0.250 0.250 1
Ag1 Ag 0.126 0.126 0.626 1
# - DFT total energy: -110.32 eV for the cell shown
# - Total magnetization: 1.12 μB/atom



# PBE-GGA LiPuAgRh, optimized geometry
data_LiPuAgRh
_chemical_formula_sum 'Li4 Pu4 Ag4 Rh4'
_cell_length_a 6.676
_cell_length_b 6.676
_cell_length_c 6.676
_cell_angle_alpha 90.00
_cell_angle_beta 90.00
_cell_angle_gamma 90.00
_space_group_name_H-M_alt 'F -4 3 m'
_space_group_IT_number 216
_space_group_name_Hall 'F -4 2 3'
loop_
_atom_site_label
_atom_site_type_symbol
_atom_site_fract_x
_atom_site_fract_y
_atom_site_fract_z
_atom_site_occupancy
Li1 Li 0.000 0.000 0.000 1
Pu1 Pu 0.250 0.250 0.750 1
Ag1 Ag 0.250 0.250 0.250 1
Rh1 Rh 0.000 0.000 0.500 1
# - DFT total energy: -106.86 eV for the cell shown
# - Total magnetization: 1.39 μB/atom